# KCdHgF6 PBE relaxed
data_KCdHgF6
_chemical_formula_sum 'K1 Cd1 Hg1 F6'
_cell_length_a 6.0799
_cell_length_b 6.0799
_cell_length_c 5.3723
_cell_angle_alpha 90.06
_cell_angle_beta 90.06
_cell_angle_gamma 120.27
_symmetry_space_group_name_H-M 'P 1'
_symmetry_Int_Tables_number 1
loop_
_symmetry_equiv_pos_as_xyz
'x,y,z'
loop_
_atom_site_label
_atom_site_fract_x
_atom_site_fract_y
_atom_site_fract_z
K1 0.0000 0.0000 0.0000
Cd1 0.3346 0.6654 0.5000
Hg1 0.6670 0.3330 0.5000
F1 0.3692 0.3654 0.7161
F2 0.3699 0.0043 0.2859
F3 0.6341 0.0024 0.7163
F4 0.6346 0.6308 0.2839
F5 0.9957 0.6301 0.7141
F6 0.9976 0.3659 0.2837
# D(E_F) in states/eV/f.u.: 5.69
# Raw total energy in eV per formula unit: -30.27
# Uncorrected formation energy in meV per atom: -1859